# 1
Compound: MnInRh2
Source: the Alexandria database
Functional: PBE-GGA
Structure: relaxed

Values from the calculation:
E_tot: -6.70 eV per atom
space-group type: R-3m
theoretical density: 9.767 g/cm3

```
MnInRh2
1.0
-1.628 -2.423 8.031
0.061 -4.695 7.140
1.330 -2.208 8.147
Rh Mn In
2 1 1
direct
0.495 0.495 0.495
0.005 0.005 0.005
0.750 0.750 0.750
0.250 0.250 0.250
```


# 2
Compound: MnInRh2
Source: the Alexandria database
Functional: PBE-GGA
Structure: relaxed

Values from the calculation:
E_tot: -6.82 eV per atom
space-group type: Cm
theoretical density: 9.842 g/cm3

```
MnInRh2
1.0
5.066 -0.021 0.230
4.162 2.888 0.230
1.161 0.361 4.363
Rh Mn In
2 1 1
direct
0.747 0.747 0.702
0.998 0.998 0.056
0.259 0.259 0.191
0.496 0.496 0.551
```


# 3
Compound: Mn2InRh
Source: the Alexandria database
Functional: PBE-GGA
Structure: relaxed

Values from the calculation:
E_tot: -6.32 eV per atom
space-group type: I-42d
theoretical density: 8.621 g/cm3

```
Mn2InRh
1.0
-4.098 5.234 -2.177
-5.391 -4.429 -0.498
-5.391 0.913 1.106
Mn Rh In
4 2 2
direct
0.875 0.833 0.750
0.167 0.625 0.250
0.583 0.125 0.250
0.375 0.417 0.750
0.250 0.750 0.500
0.500 0.500 0.000
0.000 0.000 0.000
0.750 0.250 0.500
```


# 4
Compound: Mn2InRh
Source: the Alexandria database
Functional: PBE-GGA
Structure: relaxed

Values from the calculation:
E_tot: -7.12 eV per atom
space-group type: P4/mmm
theoretical density: 8.552 g/cm3

```
Mn2InRh
1.0
-3.436 -1.853 0.901
0.335 -2.231 -3.311
2.011 -2.734 2.046
In Mn Rh
1 2 1
direct
0.000 0.500 0.500
0.500 0.500 0.000
0.000 0.000 0.000
0.500 0.000 0.500
```


# 5
Compound: MnInRh2
Source: the Alexandria database
Functional: PBE-GGA
Structure: relaxed

Values from the calculation:
E_tot: -6.75 eV per atom
space-group type: P2/m
theoretical density: 9.892 g/cm3

```
MnInRh2
1.0
2.955 0.000 0.000
0.000 4.940 0.019
0.000 3.354 4.333
In Rh Mn
1 2 1
direct
0.500 0.500 0.500
0.500 0.500 0.000
0.000 0.000 0.000
0.000 0.000 0.500
```


# 6
Compound: MnInRh2
Source: the Alexandria database
Functional: PBE-GGA
Structure: relaxed

Values from the calculation:
E_tot: -6.96 eV per atom
space-group type: P4/mmm
theoretical density: 10.042 g/cm3

```
MnInRh2
1.0
3.144 0.000 0.000
0.000 3.144 0.000
0.000 0.000 6.282
Rh Mn In
2 1 1
direct
0.500 0.500 0.266
0.500 0.500 0.734
0.000 0.000 0.500
0.000 0.000 0.000
```


# 7
Compound: Mn2InRh
Source: the Alexandria database
Functional: PBE-GGA
Structure: relaxed

Values from the calculation:
E_tot: -6.95 eV per atom
space-group type: C2/m
theoretical density: 8.471 g/cm3

```
Mn2InRh
1.0
-3.224 3.996 -0.592
0.246 -3.397 -3.887
-2.542 -1.321 0.288
In Mn Rh
1 2 1
direct
0.000 0.500 0.500
0.000 0.000 0.000
0.500 0.500 0.000
0.500 0.000 0.500
```


# 8
Compound: MnInRh
Source: the Alexandria database
Functional: PBE-GGA
Structure: relaxed

Values from the calculation:
E_tot: -6.55 eV per atom
space-group type: I4mm
theoretical density: 9.152 g/cm3

```
MnInRh
1.0
5.042 -0.028 0.000
2.865 4.150 0.000
-3.953 -2.061 2.355
Mn Rh In
1 1 1
direct
0.322 0.322 0.000
0.676 0.676 0.000
0.002 0.002 0.000
```


# 9
Compound: MnInRh2
Source: the Alexandria database
Functional: PBE-GGA
Structure: relaxed

Values from the calculation:
E_tot: -6.77 eV per atom
space-group type: C2/m
theoretical density: 9.919 g/cm3

```
MnInRh2
1.0
-1.980 -4.068 1.011
-0.753 -2.990 3.462
-4.477 1.437 1.609
Rh Mn In
2 1 1
direct
0.995 0.995 0.016
0.505 0.505 0.484
0.250 0.250 0.250
0.750 0.750 0.750
```


# 10
Compound: MnInRh
Source: the Alexandria database
Functional: PBE-GGA
Structure: relaxed

Values from the calculation:
E_tot: -6.55 eV per atom
space-group type: Pm
theoretical density: 9.209 g/cm3

```
MnInRh
1.0
3.100 0.000 -0.186
0.000 4.545 0.000
-1.119 0.000 7.045
Mn Rh In
2 2 2
direct
0.078 0.000 0.423
0.279 0.500 0.826
0.947 0.500 0.160
0.736 0.000 0.740
0.404 0.000 0.075
0.612 0.500 0.492
```


# 11
Compound: Mn2InRh
Source: the Alexandria database
Functional: PBE-GGA
Structure: relaxed

Values from the calculation:
E_tot: -6.87 eV per atom
space-group type: R3m
theoretical density: 8.634 g/cm3

```
Mn2InRh
1.0
8.744 -0.032 -0.019
8.269 2.841 -0.019
8.269 1.365 2.491
In Rh Mn
1 1 2
direct
0.751 0.751 0.751
0.506 0.506 0.506
0.994 0.994 0.994
0.249 0.249 0.249
```


# 12
Compound: Mn2InRh
Source: the Alexandria database
Functional: PBE-GGA
Structure: relaxed

Values from the calculation:
E_tot: -7.09 eV per atom
space-group type: P4/mmm
theoretical density: 8.428 g/cm3

```
Mn2InRh
1.0
3.155 0.000 0.000
0.000 3.155 0.000
0.000 0.000 6.486
Rh In Mn
1 1 2
direct
0.500 0.500 0.250
0.500 0.500 0.750
0.000 0.000 0.025
0.000 0.000 0.475
```


Number 1: energy of formation -0.05 eV/atom, magnetization 4.0 Bohr magnetons per cell, DOS at the Fermi energy 2.110 states/eV/cell. Number 2: energy of formation -0.16 eV/atom, magnetization 4.3 Bohr magnetons per cell, DOS at the Fermi energy 4.026 states/eV/cell. Number 3: energy of formation 0.79 eV/atom, magnetization 0.0 Bohr magnetons per cell, DOS at the Fermi energy 14.185 states/eV/cell. Number 4: energy of formation -0.01 eV/atom, magnetization 7.8 Bohr magnetons per cell, DOS at the Fermi energy 2.724 states/eV/cell. Number 5: energy of formation -0.10 eV/atom, magnetization 4.2 Bohr magnetons per cell, DOS at the Fermi energy 3.506 states/eV/cell. Number 6: energy of formation -0.31 eV/atom, magnetization 4.4 Bohr magnetons per cell, DOS at the Fermi energy 2.927 states/eV/cell. Number 7: energy of formation 0.15 eV/atom, magnetization 7.6 Bohr magnetons per cell, DOS at the Fermi energy 3.116 states/eV/cell. Number 8: energy of formation -0.13 eV/atom, magnetization 4.2 Bohr magnetons per cell, DOS at the Fermi energy 2.399 states/eV/cell. Number 9: energy of formation -0.12 eV/atom, magnetization 4.1 Bohr magnetons per cell, DOS at the Fermi energy 3.768 states/eV/cell. Number 10: energy of formation -0.13 eV/atom, magnetization 8.2 Bohr magnetons per cell, DOS at the Fermi energy 3.311 states/eV/cell. Number 11: energy of formation 0.24 eV/atom, magnetization 6.2 Bohr magnetons per cell, DOS at the Fermi energy 3.974 states/eV/cell. Number 12: energy of formation 0.02 eV/atom, magnetization 8.2 Bohr magnetons per cell, DOS at the Fermi energy 1.887 states/eV/cell.